1.
VASP calculation (PBE-GGA) on crystalline KCo4Ag2 at its relaxed geometry.

Cell lengths 4.475, 4.475, 13.547 Å; angles 90.00, 90.00, 90.00 degrees
Space group I4/mmm (No. 139)
Asymmetric unit:
K: 0.000 0.000 0.000 (multiplicity 2)
Co: 0.000 0.000 0.207 (multiplicity 4)
Co: 0.000 0.500 0.000 (multiplicity 4)
Ag: 0.000 0.000 0.390 (multiplicity 4)

Output
- Formation energy: 1.90 eV/atom
- VASP energy: -3.130 eV/atom

---

2.
VASP calculation (PBE-GGA) on crystalline CrSb at its relaxed geometry.

Cell lengths 3.432, 4.692, 4.988 Å; angles 95.61, 108.68, 100.88 degrees
Space group P-1 (No. 2)
Asymmetric unit:
Cr: 0.045 0.303 0.409 (multiplicity 2)
Sb: 0.315 0.795 0.186 (multiplicity 2)

Output
- VASP energy: -6.548 eV/atom
- Formation energy without anion corrections: 0.325 eV per atom

---

3.
VASP calculation (PBE-GGA) on crystalline ErTc3Ge2 at its relaxed geometry.

Cell lengths 4.292, 7.454, 7.887 Å; angles 106.39, 105.76, 106.68 degrees
Space group P-1 (No. 2)
Asymmetric unit:
Er: 0.033 0.399 0.169 (multiplicity 2)
Tc: 0.004 0.899 0.610 (multiplicity 2)
Tc: 0.310 0.038 0.082 (multiplicity 2)
Tc: 0.345 0.855 0.335 (multiplicity 2)
Ge: 0.312 0.262 0.863 (multiplicity 2)
Ge: 0.383 0.687 0.576 (multiplicity 2)

Output
- Formation energy: -0.22 eV/atom
- VASP energy: -7.707 eV/atom

---

4.
VASP calculation (PBE-GGA) on crystalline HfBSb2Te at its relaxed geometry.

Cell lengths 4.823, 4.823, 4.786 Å; angles 90.00, 90.00, 90.00 degrees
Space group P4/mmm (No. 123)
Asymmetric unit:
Hf: 0.000 0.000 0.000 (multiplicity 1)
B: 0.500 0.500 0.500 (multiplicity 1)
Sb: 0.000 0.500 0.500 (multiplicity 2)
Te: 0.500 0.500 0.000 (multiplicity 1)

Output
- VASP energy: -4.953 eV/atom
- Formation energy without anion corrections: 0.650 eV per atom

---

5.
VASP calculation (PBE-GGA) on crystalline V5Tc2 at its relaxed geometry.

Cell lengths 2.696, 8.618, 8.908 Å; angles 90.00, 97.87, 90.00 degrees
Space group P2_1/c (No. 14)
Asymmetric unit:
V: 0.000 0.000 0.000 (multiplicity 2)
V: 0.006 0.223 0.423 (multiplicity 4)
V: 0.248 0.542 0.858 (multiplicity 4)
Tc: 0.497 0.181 0.178 (multiplicity 4)

Output
- Formation energy: 0.16 eV/atom
- VASP energy: -9.312 eV/atom

---

6.
VASP calculation (PBE-GGA) on crystalline Li4Sm3Si4 at its relaxed geometry.

Cell lengths 4.362, 6.695, 14.483 Å; angles 90.00, 90.00, 90.00 degrees
Space group Immm (No. 71)
Asymmetric unit:
Li: 0.000 0.190 0.171 (multiplicity 8)
Sm: 0.000 0.000 0.370 (multiplicity 4)
Sm: 0.000 0.500 0.500 (multiplicity 2)
Si: 0.000 0.321 0.000 (multiplicity 4)
Si: 0.000 0.500 0.287 (multiplicity 4)

Output
- VASP energy: -4.506 eV/atom
- Formation energy without anion corrections: -0.551 eV per atom

---

Question: Look up the VASP energy of the first one.
Answer: -3.130 eV/atom

---

What did the third record say?
VASP calculation (PBE-GGA) on crystalline ErTc3Ge2 at its relaxed geometry.

Cell lengths 4.292, 7.454, 7.887 Å; angles 106.39, 105.76, 106.68 degrees
Space group P-1 (No. 2)
Asymmetric unit:
Er: 0.033 0.399 0.169 (multiplicity 2)
Tc: 0.004 0.899 0.610 (multiplicity 2)
Tc: 0.310 0.038 0.082 (multiplicity 2)
Tc: 0.345 0.855 0.335 (multiplicity 2)
Ge: 0.312 0.262 0.863 (multiplicity 2)
Ge: 0.383 0.687 0.576 (multiplicity 2)

Output
- Formation energy: -0.22 eV/atom
- VASP energy: -7.707 eV/atom